Entry a
Fe5C4 | Alexandria via LeMat-Bulk | PBE | relaxed; symmetry = P6_3/mcm
1.0
5.541 0.000 0.000
-2.771 4.799 0.000
0.000 0.000 5.604
Fe C
10 8
Cartesian
-0.686 1.187 1.401
-2.085 3.611 4.203
1.371 0.000 1.401
0.686 1.187 4.203
0.000 3.199 0.000
0.000 3.199 2.802
2.771 1.600 0.000
2.771 1.600 2.802
4.170 0.000 4.203
2.085 3.611 1.401
0.000 0.000 0.000
0.000 0.000 2.802
-1.154 1.999 4.203
-1.617 2.800 1.401
2.308 0.000 4.203
1.154 1.999 1.401
3.233 0.000 1.401
1.617 2.800 4.203



Entry b
Fe5C4 | Alexandria via LeMat-Bulk | PBE | relaxed; symmetry = I4/mmm
1.0
-4.565 4.565 1.219
4.565 -4.565 1.219
4.565 4.565 -1.219
Fe C
5 4
Cartesian
0.000 0.000 0.000
3.058 3.058 0.000
1.507 -1.507 1.219
-1.507 1.507 1.219
1.507 1.507 1.219
1.906 0.000 0.000
7.225 0.000 0.000
0.000 1.906 0.000
0.000 7.225 0.000



If we sort the structures by their calculated energies, the order from most to least stable is entry a, entry b.



Entry a
Fe3C4 | Alexandria via LeMat-Bulk | PBE | relaxed; symmetry = P-43m
1.0
4.355 0.000 0.000
0.000 4.355 0.000
0.000 0.000 4.355
Fe C
3 4
Cartesian
0.000 0.000 2.178
0.000 2.178 0.000
2.178 0.000 0.000
0.911 0.911 0.911
0.911 3.444 3.444
3.444 0.911 3.444
3.444 3.444 0.911



Entry b
Fe3C4 | Alexandria via LeMat-Bulk | PBE | relaxed; symmetry = Pm-3m
1.0
3.946 0.000 0.000
0.000 3.946 0.000
0.000 0.000 3.946
Fe C
3 4
Cartesian
0.000 0.000 1.973
0.000 1.973 0.000
1.973 0.000 0.000
0.000 0.000 0.000
0.000 1.973 1.973
1.973 0.000 1.973
1.973 1.973 0.000



If we sort the structures by their calculated energies, the order from most to least stable is entry a, entry b.



Entry a
Fe3C4 | Alexandria via LeMat-Bulk | PBE | relaxed; symmetry = I4/mmm
1.0
2.862 0.000 0.000
0.000 2.862 0.000
0.000 0.000 13.639
Fe C
6 8
Cartesian
0.000 0.000 0.000
0.000 0.000 4.244
0.000 0.000 9.395
1.431 1.431 2.575
1.431 1.431 6.819
1.431 1.431 11.064
0.000 0.000 2.199
0.000 0.000 6.149
0.000 0.000 7.490
0.000 0.000 11.440
1.431 1.431 0.670
1.431 1.431 4.621
1.431 1.431 9.018
1.431 1.431 12.969



Entry b
Fe3C4 | Alexandria via LeMat-Bulk | PBE | relaxed; symmetry = P6/mmm
1.0
5.325 0.000 0.000
-2.662 4.611 0.000
0.000 0.000 2.577
Fe C
3 4
Cartesian
-1.331 2.306 0.000
2.662 0.000 0.000
1.331 2.306 0.000
0.000 0.000 0.644
0.000 0.000 1.933
0.000 3.074 1.289
2.662 1.537 1.289



If we sort the structures by their calculated energies, the order from most to least stable is entry b, entry a.



Entry a
Fe5C3 | Alexandria via LeMat-Bulk | PBE | relaxed; symmetry = P6_3/mcm
1.0
5.674 0.000 0.000
-2.837 4.914 0.000
0.000 0.000 4.811
Fe C
10 6
Cartesian
-0.708 1.226 1.203
-2.129 3.688 3.608
1.416 0.000 1.203
0.708 1.226 3.608
0.000 3.276 0.000
0.000 3.276 2.406
2.837 1.638 0.000
2.837 1.638 2.406
4.258 0.000 3.608
2.129 3.688 1.203
-1.129 1.956 3.608
-1.708 2.958 1.203
2.258 0.000 3.608
1.129 1.956 1.203
3.415 0.000 1.203
1.708 2.958 3.608



Entry b
Fe5C3 | Alexandria via LeMat-Bulk | PBE | relaxed; symmetry = P4/mmm
1.0
2.489 0.000 0.000
0.000 2.489 0.000
0.000 0.000 10.966
Fe C
5 3
Cartesian
0.000 0.000 0.000
0.000 0.000 2.382
0.000 0.000 8.584
1.245 1.245 4.348
1.245 1.245 6.618
0.000 0.000 5.483
1.245 1.245 1.524
1.245 1.245 9.442



If we sort the structures by their calculated energies, the order from most to least stable is entry a, entry b.



Entry a
Fe5C3 | Alexandria via LeMat-Bulk | PBE | relaxed; symmetry = I4cm
1.0
-3.811 3.811 2.373
3.811 -3.811 2.373
3.811 3.811 -2.373
Fe C
10 6
Cartesian
3.811 0.000 0.000
3.247 -2.227 1.470
3.247 2.227 -0.903
1.583 -0.564 1.470
2.227 4.375 -0.903
0.000 3.811 0.000
0.564 1.583 1.470
4.375 2.227 1.470
2.227 3.247 1.470
-2.227 4.375 1.470
0.000 0.000 0.266
4.975 -1.164 0.998
2.646 1.164 0.998
0.000 0.000 2.639
-1.164 2.646 0.998
1.164 4.975 0.998



Entry b
Fe5C3 | Alexandria via LeMat-Bulk | PBE | relaxed; symmetry = Cmmm
1.0
5.927 0.000 0.000
0.000 8.245 0.000
0.000 0.000 2.934
Fe C
10 6
Cartesian
0.000 0.000 0.000
1.136 4.123 1.467
1.482 2.061 0.000
1.482 6.184 0.000
1.827 0.000 1.467
2.963 4.123 0.000
4.100 0.000 1.467
4.445 2.061 0.000
4.445 6.184 0.000
4.791 4.123 1.467
0.000 1.328 1.467
0.000 4.123 0.000
0.000 6.917 1.467
2.963 0.000 0.000
2.963 2.795 1.467
2.963 5.451 1.467



If we sort the structures by their calculated energies, the order from most to least stable is entry a, entry b.



Entry a
Fe2C3 | Alexandria via LeMat-Bulk | PBE | relaxed; symmetry = P-3m1
1.0
2.614 0.000 0.000
-1.307 2.264 0.000
0.000 0.000 6.760
Fe C
2 3
Cartesian
0.000 1.509 2.225
1.307 0.755 4.535
0.000 0.000 3.380
0.000 1.509 0.125
1.307 0.755 6.634



Entry b
Fe2C3 | Alexandria via LeMat-Bulk | PBE | relaxed; symmetry = R-3m
1.0
2.555 0.000 0.000
-1.278 2.213 0.000
0.000 0.000 32.736
Fe C
6 9
Cartesian
0.000 0.000 4.259
0.000 0.000 28.477
0.000 1.475 17.565
0.000 1.475 26.083
1.278 0.738 6.653
1.278 0.738 15.171
0.000 0.000 10.912
0.000 0.000 16.368
0.000 0.000 21.824
0.000 1.475 32.736
0.000 1.475 5.456
0.000 1.475 10.912
1.278 0.738 0.000
1.278 0.738 21.824
1.278 0.738 27.280



If we sort the structures by their calculated energies, the order from most to least stable is entry a, entry b.



Entry a
GaFe2RhC | Alexandria via LeMat-Bulk | PBE | relaxed; symmetry = P4/mmm
1.0
4.423 0.000 0.000
0.000 4.423 0.000
0.000 0.000 4.517
Ga Fe Rh C
1 2 1 1
Cartesian
0.000 0.000 0.000
0.000 2.211 0.000
2.211 0.000 0.000
0.000 0.000 2.259
2.211 2.211 2.259



Entry b
GaFe2RhC | Alexandria via LeMat-Bulk | PBE | relaxed; symmetry = P4/mmm
1.0
3.772 0.000 0.000
0.000 3.772 0.000
0.000 0.000 4.087
Ga Fe Rh C
1 2 1 1
Cartesian
0.000 0.000 0.000
0.000 1.886 2.044
1.886 0.000 2.044
1.886 1.886 0.000
1.886 1.886 2.044



If we sort the structures by their calculated energies, the order from most to least stable is entry b, entry a.



Entry a
FeGe3C | Alexandria via LeMat-Bulk | PBE | relaxed; symmetry = Pm-3m
1.0
4.210 0.000 0.000
0.000 4.210 0.000
0.000 0.000 4.210
Fe Ge C
1 3 1
Cartesian
0.000 0.000 0.000
0.000 2.105 2.105
2.105 0.000 2.105
2.105 2.105 0.000
2.105 2.105 2.105



Entry b
FeGe3C | Alexandria via LeMat-Bulk | PBE | relaxed; symmetry = Pm-3m
1.0
4.488 0.000 0.000
0.000 4.488 0.000
0.000 0.000 4.488
Fe Ge C
1 3 1
Cartesian
0.000 0.000 0.000
0.000 0.000 2.244
0.000 2.244 0.000
2.244 0.000 0.000
2.244 2.244 2.244



If we sort the structures by their calculated energies, the order from most to least stable is entry a, entry b.



Entry a
VFe2GeC | Alexandria via LeMat-Bulk | PBE | relaxed; symmetry = P4/mmm
1.0
4.533 0.000 0.000
0.000 4.533 0.000
0.000 0.000 3.819
V Fe Ge C
1 2 1 1
Cartesian
0.000 0.000 0.000
0.000 2.266 1.909
2.266 0.000 1.909
2.266 2.266 1.909
2.266 2.266 0.000



Entry b
VFe2GeC | Alexandria via LeMat-Bulk | PBE | relaxed; symmetry = P4/mmm
1.0
3.778 0.000 0.000
0.000 3.778 0.000
0.000 0.000 3.996
V Fe Ge C
1 2 1 1
Cartesian
0.000 0.000 0.000
0.000 1.889 1.998
1.889 0.000 1.998
1.889 1.889 0.000
0.000 0.000 1.998



If we sort the structures by their calculated energies, the order from most to least stable is entry b, entry a.



Entry a
Hf3FeC | Alexandria via LeMat-Bulk | PBE | relaxed; symmetry = C2/m
1.0
5.159 -2.251 0.000
5.159 2.251 0.000
-1.532 0.000 7.091
Hf Fe C
6 2 2
Cartesian
0.481 0.000 1.464
0.893 0.000 4.401
3.573 0.000 0.504
5.213 0.000 6.586
7.892 0.000 2.690
8.304 0.000 5.626
3.518 0.000 4.225
5.268 0.000 2.866
0.028 0.000 6.549
8.758 0.000 0.541



Entry b
Hf3FeC | Alexandria via LeMat-Bulk | PBE | relaxed; symmetry = Pm-3m
1.0
4.407 0.000 0.000
0.000 4.407 0.000
0.000 0.000 4.407
Hf Fe C
3 1 1
Cartesian
0.000 0.000 2.204
0.000 2.204 0.000
2.204 0.000 0.000
2.204 2.204 2.204
0.000 0.000 0.000



If we sort the structures by their calculated energies, the order from most to least stable is entry a, entry b.



Entry a
HfFe3C | Alexandria via LeMat-Bulk | PBE | relaxed; symmetry = Pm-3m
1.0
3.823 0.000 0.000
0.000 3.823 0.000
0.000 0.000 3.823
Hf Fe C
1 3 1
Cartesian
0.000 0.000 0.000
0.000 1.912 1.912
1.912 0.000 1.912
1.912 1.912 0.000
1.912 1.912 1.912



Entry b
HfFe3C | Alexandria via LeMat-Bulk | PBE | relaxed; symmetry = Pm-3m
1.0
4.576 0.000 0.000
0.000 4.576 0.000
0.000 0.000 4.576
Hf Fe C
1 3 1
Cartesian
0.000 0.000 0.000
0.000 0.000 2.288
0.000 2.288 0.000
2.288 0.000 0.000
2.288 2.288 2.288



If we sort the structures by their calculated energies, the order from most to least stable is entry a, entry b.



Entry a
FeHg3C | Alexandria via LeMat-Bulk | PBE | relaxed; symmetry = Pm-3m
1.0
4.993 0.000 0.000
0.000 4.993 0.000
0.000 0.000 4.993
Fe Hg C
1 3 1
Cartesian
0.000 0.000 0.000
0.000 0.000 2.497
0.000 2.497 0.000
2.497 0.000 0.000
2.497 2.497 2.497



Entry b
FeHg3C | Alexandria via LeMat-Bulk | PBE | relaxed; symmetry = Pm-3m
1.0
4.659 0.000 0.000
0.000 4.659 0.000
0.000 0.000 4.659
Fe Hg C
1 3 1
Cartesian
0.000 0.000 0.000
0.000 2.329 2.329
2.329 0.000 2.329
2.329 2.329 0.000
2.329 2.329 2.329



If we sort the structures by their calculated energies, the order from most to least stable is entry b, entry a.



Entry a
Fe3HgC | Alexandria via LeMat-Bulk | PBE | relaxed; symmetry = Pm-3m
1.0
3.929 0.000 0.000
0.000 3.929 0.000
0.000 0.000 3.929
Fe Hg C
3 1 1
Cartesian
0.000 0.000 1.964
0.000 1.964 0.000
1.964 0.000 0.000
1.964 1.964 1.964
0.000 0.000 0.000



Entry b
Fe3HgC | Alexandria via LeMat-Bulk | PBE | relaxed; symmetry = Pm-3m
1.0
4.857 0.000 0.000
0.000 4.857 0.000
0.000 0.000 4.857
Fe Hg C
3 1 1
Cartesian
0.000 0.000 2.428
0.000 2.428 0.000
2.428 0.000 0.000
0.000 0.000 0.000
2.428 2.428 2.428



If we sort the structures by their calculated energies, the order from most to least stable is entry a, entry b.